The following is a GGA-PBE calculation of crystalline Li2Cd2Ag3 at its relaxed geometry, from Alexandria.

Lattice parameters (Å, degrees): 4.097 5.117 6.643 82.69 89.74 66.56
Fractional coordinates of all 7 atoms:
Li 0.210 0.079 0.137
Li 0.790 0.921 0.863
Cd 0.359 0.780 0.582
Cd 0.641 0.220 0.418
Ag 0.079 0.340 0.728
Ag 0.500 0.500 0.000
Ag 0.921 0.660 0.272

Energy of formation: -167 meV/atom
Excess energy over the best structure of this formula in the dataset: 15 meV/atom


The following is a GGA-PBE calculation of crystalline TiNiGe3 at its relaxed geometry, from Alexandria.

Lattice parameters (Å, degrees): 4.551 4.551 4.551 90.00 90.00 90.00
Fractional coordinates of all 5 atoms:
Ti 0.000 0.000 0.000
Ni 0.500 0.500 0.500
Ge 0.000 0.500 0.500
Ge 0.500 0.000 0.500
Ge 0.500 0.500 0.000

Energy of formation: 413 meV/atom


The following is a GGA-PBE calculation of crystalline CaMg4Au at its relaxed geometry, from Alexandria.

Lattice parameters (Å, degrees): 8.814 4.368 7.604 90.00 90.00 90.00
Fractional coordinates of all 12 atoms:
Ca 0.250 0.000 0.101
Ca 0.750 0.000 0.899
Mg 0.000 0.000 0.500
Mg 0.061 0.500 0.802
Mg 0.250 0.500 0.449
Mg 0.439 0.500 0.802
Mg 0.500 0.000 0.500
Mg 0.561 0.500 0.198
Mg 0.750 0.500 0.551
Mg 0.939 0.500 0.198
Au 0.250 0.000 0.703
Au 0.750 0.000 0.297

Energy of formation: -327 meV/atom
Excess energy over the best structure of this formula in the dataset: 0 meV/atom


The following is a GGA-PBE calculation of crystalline Nd2Dy2ZnGa4 at its relaxed geometry, from Alexandria.

Lattice parameters (Å, degrees): 6.638 6.638 6.638 116.21 116.21 96.70
Fractional coordinates of all 9 atoms:
Nd 0.250 0.750 0.500
Nd 0.750 0.250 0.500
Dy 0.186 0.186 0.000
Dy 0.814 0.814 0.000
Zn 0.500 0.500 0.000
Ga 0.255 0.255 0.509
Ga 0.255 0.745 0.000
Ga 0.745 0.255 0.000
Ga 0.745 0.745 0.491

Energy of formation: -331 meV/atom


The following is a GGA-PBE calculation of crystalline EuHS at its relaxed geometry, from Alexandria.

Lattice parameters (Å, degrees): 8.325 4.068 5.938 90.00 90.00 90.00
Fractional coordinates of all 12 atoms:
Eu 0.119 0.250 0.215
Eu 0.381 0.750 0.715
Eu 0.619 0.250 0.285
Eu 0.881 0.750 0.785
H 0.107 0.750 0.018
H 0.393 0.250 0.518
H 0.607 0.750 0.482
H 0.893 0.250 0.982
S 0.130 0.250 0.711
S 0.370 0.750 0.211
S 0.630 0.250 0.789
S 0.870 0.750 0.289

Raw total energy: -6.978 eV per atom


The following is a GGA-PBE calculation of crystalline VPPdCl2 at its relaxed geometry, from Alexandria.

Lattice parameters (Å, degrees): 4.523 4.523 4.820 90.00 90.00 90.00
Fractional coordinates of all 5 atoms:
V 0.000 0.000 0.000
P 0.000 0.000 0.500
Pd 0.500 0.500 0.500
Cl 0.000 0.500 0.000
Cl 0.500 0.000 0.000

Formation energy without anion corrections: 0.124 eV/atom
Excess energy over the best structure of this formula in the dataset: 0 meV/atom


The following is a GGA-PBE calculation of crystalline AlFe2Co at its relaxed geometry, from Alexandria.

Lattice parameters (Å, degrees): 3.581 3.581 7.420 90.00 90.00 90.00
Fractional coordinates of all 8 atoms:
Al 0.000 0.000 0.000
Al 0.500 0.500 0.500
Fe 0.000 0.500 0.250
Fe 0.000 0.500 0.750
Fe 0.500 0.000 0.250
Fe 0.500 0.000 0.750
Co 0.000 0.000 0.500
Co 0.500 0.500 0.000

Energy of formation: -188 meV/atom


The following is a GGA-PBE calculation of crystalline Y2Nb2Cu at its relaxed geometry, from Alexandria.

Lattice parameters (Å, degrees): 3.735 3.735 17.374 90.00 90.00 90.00
Fractional coordinates of all 10 atoms:
Y 0.000 0.000 0.097
Y 0.000 0.000 0.903
Y 0.500 0.500 0.403
Y 0.500 0.500 0.597
Nb 0.000 0.500 0.250
Nb 0.000 0.500 0.750
Nb 0.500 0.000 0.250
Nb 0.500 0.000 0.750
Cu 0.000 0.000 0.500
Cu 0.500 0.500 0.000

Energy of formation: 377 meV/atom
Excess energy over the best structure of this formula in the dataset: 39 meV/atom


| no. | theoretical density (Mg/m³) |
| --- | --- |
| 1 | 7.4 |
| 2 | 5.7 |
| 3 | 3.8 |
| 4 | 7.3 |
| 5 | 6.1 |
| 6 | 4.4 |
| 7 | 6.9 |
| 8 | 5.9 |